Model 1:
Entry from Alexandria: a relaxed BaTa4S8 crystal (GGA-PBE). Values from VASP.

The structure in Quantum ESPRESSO input format:
```
&SYSTEM
  ibrav = 0, nat = 13, ntyp = 3
/
ATOMIC_SPECIES
Ba 137.33 Ba.upf
Ta 180.95 Ta.upf
S 32.06 S.upf
CELL_PARAMETERS angstrom
0.0000 5.2575 5.2575
5.2575 0.0000 5.2575
5.2575 5.2575 0.0000
ATOMIC_POSITIONS crystal
Ba 0.0000 0.0000 0.0000
Ta 0.1813 0.6062 0.6062
Ta 0.6062 0.1813 0.6062
Ta 0.6062 0.6062 0.1813
Ta 0.6062 0.6062 0.6062
S 0.3740 0.3740 0.3740
S 0.3740 0.3740 0.8780
S 0.3740 0.8780 0.3740
S 0.4540 0.8487 0.8487
S 0.8487 0.4540 0.8487
S 0.8487 0.8487 0.4540
S 0.8487 0.8487 0.8487
S 0.8780 0.3740 0.3740
```

Results
crystal system: cubic
SG: F-43m (216)

Model 2:
Entry from Alexandria: a relaxed BaTa4S8 crystal (GGA-PBE). Values from VASP.

The structure in Quantum ESPRESSO input format:
```
&SYSTEM
  ibrav = 0, nat = 13, ntyp = 3
/
ATOMIC_SPECIES
Ba 137.33 Ba.upf
Ta 180.95 Ta.upf
S 32.06 S.upf
CELL_PARAMETERS angstrom
8.3956 -1.7202 0.0000
8.3956 1.7202 0.0000
-7.6103 0.0000 8.9630
ATOMIC_POSITIONS crystal
Ba 0.0000 0.0000 0.0000
Ta 0.1540 0.1540 0.4746
Ta 0.3208 0.3208 0.1408
Ta 0.6792 0.6792 0.8592
Ta 0.8460 0.8460 0.5254
S 0.0392 0.0392 0.7467
S 0.3086 0.3086 0.9209
S 0.3444 0.3444 0.6812
S 0.3689 0.3689 0.4016
S 0.6311 0.6311 0.5984
S 0.6556 0.6556 0.3188
S 0.6914 0.6914 0.0791
S 0.9608 0.9608 0.2533
```

Results
crystal system: monoclinic
SG: C2/m (12)

Which of them is most stable? Easy: model 2.

Model 1:
Entry from Alexandria: a relaxed BaTc3S crystal (GGA-PBE). Values from VASP.

The structure in Quantum ESPRESSO input format:
```
&SYSTEM
  ibrav = 0, nat = 5, ntyp = 3
/
ATOMIC_SPECIES
Ba 137.33 Ba.upf
Tc 98.00 Tc.upf
S 32.06 S.upf
CELL_PARAMETERS angstrom
5.1963 0.0000 0.0000
0.0000 5.1963 0.0000
0.0000 0.0000 5.1963
ATOMIC_POSITIONS crystal
Ba 0.0000 0.0000 0.0000
Tc 0.0000 0.0000 0.5000
Tc 0.0000 0.5000 0.0000
Tc 0.5000 0.0000 0.0000
S 0.5000 0.5000 0.5000
```

Results
crystal system: cubic
SG: Pm-3m (221)

Model 2:
Entry from Alexandria: a relaxed BaTc3S crystal (GGA-PBE). Values from VASP.

The structure in Quantum ESPRESSO input format:
```
&SYSTEM
  ibrav = 0, nat = 5, ntyp = 3
/
ATOMIC_SPECIES
Ba 137.33 Ba.upf
Tc 98.00 Tc.upf
S 32.06 S.upf
CELL_PARAMETERS angstrom
4.6024 0.0000 0.0000
0.0000 4.6024 0.0000
0.0000 0.0000 4.6024
ATOMIC_POSITIONS crystal
Ba 0.0000 0.0000 0.0000
Tc 0.0000 0.5000 0.5000
Tc 0.5000 0.0000 0.5000
Tc 0.5000 0.5000 0.0000
S 0.5000 0.5000 0.5000
```

Results
crystal system: cubic
SG: Pm-3m (221)

Which of them is most stable? Easy: model 2.